Record 1
Material: BeAl2Os
Method: DFT, SCAN
State: single point on PBEsol structure

Cell: 8.946 3.114 4.061 Å, 90.00 116.84 90.00°
Positions (direct):
Be 0.000 0.000 0.000
Be 0.500 0.500 0.000
Al 0.012 0.500 0.514
Al 0.244 0.500 0.246
Al 0.512 0.000 0.514
Al 0.744 0.000 0.246
Os 0.273 0.000 0.776
Os 0.773 0.500 0.776

Output
Its calculated volume is 12.6 Å³/atom. The value obtained for the energy of formation from the pure elements is -0.4096 eV per atom. The calculation puts the total magnetization at 0.001 μB per cell.

=====

Record 2
Material: TaZnIn2
Method: DFT, SCAN
State: single point on PBEsol structure

Cell: 2.926 2.926 9.173 Å, 90.00 90.00 90.00°
Positions (direct):
Ta 0.000 0.000 0.000
Zn 0.500 0.500 0.796
In 0.000 0.000 0.547
In 0.500 0.500 0.242

Output
Its calculated volume is 19.6 Å³/atom. The value obtained for the energy of formation from the pure elements is 0.1754 eV per atom. The calculation puts the total magnetization at 0.000 μB per cell.

=====

Record 3
Material: NiMo2Rh
Method: DFT, SCAN
State: single point on PBEsol structure

Cell: 3.729 3.729 7.781 Å, 90.00 90.00 90.00°
Positions (direct):
Ni 0.000 0.000 0.000
Ni 0.500 0.500 0.500
Mo 0.000 0.500 0.250
Mo 0.000 0.500 0.750
Mo 0.500 0.000 0.250
Mo 0.500 0.000 0.750
Rh 0.000 0.000 0.500
Rh 0.500 0.500 0.000

Output
Its calculated volume is 13.5 Å³/atom. The value obtained for the energy of formation from the pure elements is -0.0606 eV per atom. The calculation puts the total magnetization at 0.001 μB per cell. The energy above the most stable polymorph in this dataset is 19 meV per atom.

=====

Record 4
Material: RbPSCl2
Method: DFT, SCAN
State: single point on PBEsol structure

Cell: 5.081 5.081 4.471 Å, 90.00 90.00 90.00°
Positions (direct):
Rb 0.000 0.000 0.000
P 0.500 0.500 0.500
S 0.500 0.500 0.000
Cl 0.000 0.500 0.500
Cl 0.500 0.000 0.500

Output
Its calculated volume is 23.1 Å³/atom. The uncorrected formation energy comes out at -0.794 eV/atom. The calculation puts the total magnetization at 0.000 μB per cell. The energy above the most stable polymorph in this dataset is 0 meV per atom.

=====

Record 5
Material: Zn2TcMo
Method: DFT, SCAN
State: single point on PBEsol structure

Cell: 5.189 8.585 2.604 Å, 90.00 103.79 90.00°
Positions (direct):
Zn 0.250 0.250 0.000
Zn 0.250 0.750 0.000
Zn 0.750 0.250 0.000
Zn 0.750 0.750 0.000
Tc 0.000 0.000 0.500
Tc 0.500 0.500 0.500
Mo 0.000 0.500 0.500
Mo 0.500 0.000 0.500

Output
Its calculated volume is 14.1 Å³/atom. The value obtained for the energy of formation from the pure elements is 0.1191 eV per atom. The calculation puts the total magnetization at 0.000 μB per cell. The energy above the most stable polymorph in this dataset is 116 meV per atom.

=====

Record 6
Material: KHgPt2
Method: DFT, SCAN
State: single point on PBEsol structure

Cell: 2.774 4.343 7.670 Å, 90.00 90.00 90.00°
Positions (direct):
K 0.000 0.000 0.000
Hg 0.500 0.500 0.689
Pt 0.000 0.000 0.390
Pt 0.500 0.500 0.329

Output
Its calculated volume is 23.1 Å³/atom. The value obtained for the energy of formation from the pure elements is -0.0884 eV per atom. The calculation puts the total magnetization at 0.000 μB per cell.